1.
{
  "formula": "ErZrTcPt",
  "functional": "PBE-GGA",
  "state": "optimized geometry",
  "formation_enthalpy_0k_ev_per_atom": -0.66,
  "spacegroup": "F-43m, No. 216",
  "energy_ev_per_atom": -8.04,
  "cell": [[0.0000, 3.3645, 3.3645], [3.3645, 0.0000, 3.3645], [3.3645, 3.3645, 0.0000]],
  "species": ["Er", "Zr", "Tc", "Pt"],
  "fractional_positions": [[0.0000, 0.0000, 0.0000], [0.5000, 0.5000, 0.5000], [0.7500, 0.7500, 0.7500], [0.2500, 0.2500, 0.2500]]
}

---

2.
{
  "formula": "Ac8Nd5Dy",
  "functional": "PBE-GGA",
  "state": "optimized geometry",
  "formation_enthalpy_0k_ev_per_atom": 0.06,
  "spacegroup": "P1, No. 1",
  "energy_ev_per_atom": -4.32,
  "cell": [[7.6104, 0.0000, 0.0000], [-1.9154, 9.0572, 0.0000], [-1.9048, -4.4074, 8.2616]],
  "species": ["Ac", "Ac", "Ac", "Ac", "Ac", "Ac", "Ac", "Ac", "Nd", "Nd", "Nd", "Nd", "Nd", "Dy"],
  "fractional_positions": [[0.0000, 0.0000, 0.0000], [0.0774, 0.7207, 0.5859], [0.2961, 0.8769, 0.3103], [0.3957, 0.4332, 0.1578], [0.5036, 0.9998, 0.9977], [0.6037, 0.5489, 0.8559], [0.7217, 0.1463, 0.7237], [0.7991, 0.8759, 0.3135], [0.1033, 0.5438, 0.8622], [0.1905, 0.3218, 0.4508], [0.2190, 0.1502, 0.7226], [0.5751, 0.7182, 0.5803], [0.6940, 0.3212, 0.4439], [0.8990, 0.4329, 0.1566]]
}

---

3.
{
  "formula": "HfMg3",
  "functional": "PBE-GGA",
  "state": "optimized geometry",
  "formation_enthalpy_0k_ev_per_atom": 0.14,
  "spacegroup": "P6_3/mmc, No. 194",
  "energy_ev_per_atom": -3.54,
  "cell": [[6.3128, 0.0000, 0.0000], [-3.1564, 5.4671, 0.0000], [0.0000, 0.0000, 5.0269]],
  "species": ["Hf", "Hf", "Mg", "Mg", "Mg", "Mg", "Mg", "Mg"],
  "fractional_positions": [[0.3333, 0.6667, 0.2500], [0.6667, 0.3333, 0.7500], [0.1678, 0.3356, 0.7500], [0.1678, 0.8322, 0.7500], [0.3356, 0.1678, 0.2500], [0.6644, 0.8322, 0.7500], [0.8322, 0.1678, 0.2500], [0.8322, 0.6644, 0.2500]]
}